1.
{
  "formula": "ScPW2",
  "functional": "PBE",
  "state": "optimized geometry",
  "dos_ef_per_ev_fu": 2.459,
  "cell": [[-0.9356, -2.6341, -2.5747], [3.4715, 0.2575, -1.5249], [4.3904, -8.1039, 3.8908]],
  "species": ["W", "W", "W", "W", "Sc", "Sc", "P", "P"],
  "fractional_positions": [[0.1437, 0.6250, 0.2500], [0.6063, 0.1250, 0.2500], [0.3750, 0.3937, 0.7500], [0.8750, 0.8563, 0.7500], [0.7500, 0.2500, 0.5000], [0.0000, 0.0000, 0.0000], [0.5000, 0.5000, 0.0000], [0.2500, 0.7500, 0.5000]]
}


2.
{
  "formula": "ScP2W",
  "functional": "PBE",
  "state": "optimized geometry",
  "dos_ef_per_ev_fu": 2.131,
  "e_above_lowest_polymorph_ev_per_atom": 0.1815,
  "cell": [[4.6284, 0.0000, 0.0000], [0.0000, 3.3505, 0.0018], [0.0000, 1.6659, 4.4195]],
  "species": ["Sc", "P", "P", "W"],
  "fractional_positions": [[0.0000, 0.5857, 0.4525], [0.0000, 0.8705, 0.8858], [0.5000, 0.1678, 0.2902], [0.5000, 0.8760, 0.8715]]
}


3.
{
  "formula": "ScP2W",
  "functional": "PBE",
  "state": "optimized geometry",
  "dos_ef_per_ev_fu": 3.508,
  "e_above_lowest_polymorph_ev_per_atom": 0.0000,
  "cell": [[-2.6095, -1.0690, -2.1011], [0.5283, -0.2594, -3.4671], [1.1320, -6.3089, -1.1390]],
  "species": ["P", "P", "Sc", "W"],
  "fractional_positions": [[0.0890, 0.0890, 0.7331], [0.2440, 0.2440, 0.2681], [0.6704, 0.6704, 0.9888], [0.4966, 0.4966, 0.5101]]
}


4.
{
  "formula": "Sc2PW",
  "functional": "PBE",
  "state": "optimized geometry",
  "dos_ef_per_ev_fu": 2.750,
  "cell": [[-1.7808, 4.3163, -1.6412], [-1.9613, -0.7990, 4.4733], [2.3024, 1.4309, 1.2651]],
  "species": ["W", "Sc", "Sc", "P"],
  "fractional_positions": [[0.0000, 0.0000, 0.5000], [0.5000, 0.0000, 0.0000], [0.0000, 0.5000, 0.0000], [0.5000, 0.5000, 0.5000]]
}


5.
{
  "formula": "ScPW2",
  "functional": "PBE",
  "state": "optimized geometry",
  "dos_ef_per_ev_fu": 2.041,
  "cell": [[-3.1157, 0.7775, 0.0191], [-0.3574, -1.5015, 2.8160], [1.3887, 5.4889, 3.1029]],
  "species": ["P", "Sc", "W", "W"],
  "fractional_positions": [[0.0000, 0.0000, 0.4552], [0.5000, 0.5000, 0.7403], [0.0000, 0.0000, 0.0337], [0.5000, 0.5000, 0.2707]]
}


6.
{
  "formula": "ScPW3",
  "functional": "PBE",
  "state": "optimized geometry",
  "dos_ef_per_ev_fu": 3.874,
  "e_above_lowest_polymorph_ev_per_atom": 2.1777,
  "cell": [[-3.1541, 2.8368, 1.9002], [-3.2955, -1.8526, -2.7045], [-0.8932, -3.1823, 3.2683]],
  "species": ["P", "Sc", "W", "W", "W"],
  "fractional_positions": [[0.5000, 0.5000, 0.5000], [0.0000, 0.0000, 0.0000], [0.5000, 0.0000, 0.0000], [0.0000, 0.0000, 0.5000], [0.0000, 0.5000, 0.0000]]
}


Number 1: E_tot -73.4 eV/cell, formation energy 1.0 eV per formula unit. Number 2: E_tot -32.4 eV/cell, formation energy -2.3 eV per formula unit. Number 3: E_tot -33.1 eV/cell, formation energy -3.0 eV per formula unit. Number 4: E_tot -31.7 eV/cell, formation energy -0.7 eV per formula unit. Number 5: E_tot -38.3 eV/cell, formation energy -0.7 eV per formula unit. Number 6: E_tot -37.1 eV/cell, formation energy 13.5 eV per formula unit.